Entry 1:
# GGA-PBE SbRh3, optimized geometry
data_SbRh3
_space_group_name_H-M_alt 'C 1 2/m 1'
_space_group_IT_number 12
_cell_length_a 9.1101
_cell_length_b 3.0204
_cell_length_c 4.7338
_cell_angle_alpha 90.00
_cell_angle_beta 103.97
_cell_angle_gamma 90.00
loop_
_space_group_symop_operation_xyz
'x,y,z'
'-x,-y,-z'
'-x,y,-z'
'x,-y,z'
'x+1/2,y+1/2,z'
'-x+1/2,-y+1/2,-z'
'-x+1/2,y+1/2,-z'
'x+1/2,-y+1/2,z'
loop_
_atom_site_label
_atom_site_type_symbol
_atom_site_fract_x
_atom_site_fract_y
_atom_site_fract_z
Sb1 Sb 0.0000 0.0000 0.0000
Rh1 Rh 0.0000 0.5000 0.5000
Rh2 Rh 0.2431 0.5000 0.2569
# mass density = 11.31 g/cm3
# spin magnetization = 0.0 μB/cell
# formation energy without anion corrections = -99 meV per atom


Entry 2:
# GGA-PBE SbRh, optimized geometry
data_SbRh
_space_group_name_H-M_alt 'P 42/m n m'
_space_group_IT_number 136
_space_group_name_Hall '-P 4n 2n'
_cell_length_a 5.3316
_cell_length_b 5.3316
_cell_length_c 5.5177
_cell_angle_alpha 90.00
_cell_angle_beta 90.00
_cell_angle_gamma 90.00
loop_
_atom_site_label
_atom_site_type_symbol
_atom_site_fract_x
_atom_site_fract_y
_atom_site_fract_z
Sb1 Sb 0.2113 0.2113 0.0000
Rh1 Rh 0.2017 0.2017 0.5000
# mass density = 9.51 g/cm3
# spin magnetization = 0.0 μB/cell
# formation energy without anion corrections = -198 meV per atom


Entry 3:
# GGA-PBE SbRh, optimized geometry
data_SbRh
_space_group_name_H-M_alt 'P -3 m 1'
_space_group_IT_number 164
_space_group_name_Hall '-P 3 2"'
_cell_length_a 4.2679
_cell_length_b 4.2679
_cell_length_c 15.7853
_cell_angle_alpha 90.00
_cell_angle_beta 90.00
_cell_angle_gamma 120.00
loop_
_atom_site_label
_atom_site_type_symbol
_atom_site_fract_x
_atom_site_fract_y
_atom_site_fract_z
Sb1 Sb 0.0000 0.0000 0.1029
Sb2 Sb 0.3333 0.6667 0.2420
Sb3 Sb 0.3333 0.6667 0.4382
Rh1 Rh 0.0000 0.0000 0.2801
Rh2 Rh 0.3333 0.6667 0.6187
Rh3 Rh 0.3333 0.6667 0.9723
# mass density = 8.99 g/cm3
# spin magnetization = 0.0 μB/cell
# formation energy without anion corrections = -165 meV per atom


Entry 4:
# GGA-PBE SbRh3, optimized geometry
data_SbRh3
_space_group_name_H-M_alt 'P -6 m 2'
_space_group_IT_number 187
_space_group_name_Hall 'P -6 2'
_cell_length_a 3.0444
_cell_length_b 3.0444
_cell_length_c 8.2643
_cell_angle_alpha 90.00
_cell_angle_beta 90.00
_cell_angle_gamma 120.00
loop_
_atom_site_label
_atom_site_type_symbol
_atom_site_fract_x
_atom_site_fract_y
_atom_site_fract_z
Sb1 Sb 0.0000 0.0000 0.0000
Rh1 Rh 0.0000 0.0000 0.5000
Rh2 Rh 0.3333 0.6667 0.2457
# mass density = 10.78 g/cm3
# spin magnetization = 1.1 μB/cell
# formation energy without anion corrections = 209 meV per atom


Record order is preserved below.
DOS at the Fermi energy: 11.9; 4.6; 8.5; 6.1 states/eV per cell